Record 1
This record from Alexandria describes an optimized crystal structure of CeErI5. The functional is PBE-GGA.

Geometry as extended XYZ:
```
14
Lattice="-2.258 0.673 -3.538 6.619 -4.312 -5.044 -7.724 -12.460 2.562" Properties=species:S:1:pos:R:3 pbc="T T T"
Er -0.511 -5.872 -2.067
Er -2.853 -10.228 -3.954
I -3.519 -10.253 -0.980
I -4.119 -13.076 -3.687
I 0.755 -3.024 -2.333
I -0.105 -9.217 -2.962
I 0.155 -5.847 -5.041
I -3.259 -6.882 -3.059
I -2.493 -4.039 -0.453
I -7.897 -11.681 -1.011
I 4.533 -4.418 -5.010
I -0.871 -12.060 -5.567
Ce -2.191 -1.776 -2.770
Ce -1.173 -14.324 -3.251
```

Raw total energy in eV/atom: -3.907
Raw formation energy in meV per atom: -1300

=====

Record 2
This record from Alexandria describes an optimized crystal structure of Li2TbUO6. The functional is PBE-GGA.

Geometry as extended XYZ:
```
20
Lattice="5.549 0.000 -0.017 0.000 5.672 0.000 0.025 0.000 8.069" Properties=species:S:1:pos:R:3 pbc="T T T"
Li 2.683 2.902 6.094
Li 5.445 5.606 2.051
Li 2.891 2.770 1.958
Li 0.128 0.066 6.002
Tb 2.775 0.000 -0.008
Tb 0.012 2.836 4.035
O 3.587 1.805 4.630
O 0.990 0.867 3.512
O 0.800 1.031 0.603
O 3.777 1.969 7.539
O 4.584 4.805 4.540
O 4.848 3.327 1.888
O 1.797 3.703 0.514
O 1.987 3.867 3.423
O 2.086 5.181 5.932
O 0.726 2.345 6.164
O 4.774 4.640 7.449
O 3.488 0.491 2.121
U 2.787 0.000 4.026
U 0.000 2.836 0.000
```

Raw total energy in eV/atom: -7.619
Raw formation energy in meV per atom: -2670

=====

no.,density (Mg/m³)
1,5.29
2,6.63